[1]
The following is a GGA-PBE calculation of a relaxed Ga2H4Cl3 crystal, from the Alexandria database.

a b c (Å): 4.169 6.392 10.363
angles (deg): 60.57 78.40 70.97
Fractional coordinates of all 9 atoms:
Ga 0.803 0.311 0.084
Ga 0.197 0.689 0.916
H 0.290 0.377 0.042
H 0.031 0.451 0.487
H 0.969 0.549 0.513
H 0.710 0.623 0.958
Cl 0.731 0.224 0.314
Cl 0.000 0.000 0.000
Cl 0.269 0.776 0.686

Computed properties:
Space-group type = C2/m



[2]
The following is a GGA-PBE calculation of a relaxed GaH2Cl2 crystal, from the Alexandria database.

a b c (Å): 3.170 4.563 6.432
angles (deg): 94.92 90.00 110.32
Fractional coordinates of all 5 atoms:
Ga 0.000 0.000 0.000
H 0.600 0.200 0.110
H 0.400 0.800 0.890
Cl 0.156 0.312 0.739
Cl 0.844 0.688 0.261

Computed properties:
Space-group type = C2/m
Relative energy among the computed polymorphs = 398 meV/atom



[3]
The following is a GGA-PBE calculation of a relaxed GaH2Cl crystal, from the Alexandria database.

a b c (Å): 5.331 5.331 5.324
angles (deg): 59.96 59.96 90.00
Fractional coordinates of all 8 atoms:
H 0.925 0.125 0.250
H 0.825 0.625 0.250
H 0.375 0.075 0.750
H 0.875 0.175 0.750
Ga 0.000 0.000 0.000
Ga 0.750 0.250 0.500
Cl 0.500 0.500 0.000
Cl 0.250 0.750 0.500

Computed properties:
Space-group type = I-42d
Relative energy among the computed polymorphs = 336 meV/atom



Total moment across the listed records, respectively: 0.000; 0.000; 0.000 Bohr magnetons per cell.
Energy across the listed records, respectively: -3.081; -2.656; -2.875 eV per atom.